No. 1
RbMnAsSe2 | PBE | relaxed

Symmetry: No. 123
Electronic total energy in eV/atom: -4.60
Volume in Å³ per cell: 126.1
Crystal system: tetragonal
N(E_F) in states/eV/atom: 0.8180

a b c (Å): 5.139 5.139 4.775
angles (deg): 90.00 90.00 90.00
Site moments in Bohr magnetons follow the coordinates.
Element x y z (fractional)
Se (0.500, 0.000, 0.000)  0.00
Se (0.000, 0.500, 0.000)  0.00
Rb (0.500, 0.500, 0.500)  0.00
Mn (0.000, 0.000, 0.000)  3.24
As (0.000, 0.000, 0.500)  -0.30


No. 2
SmTm3Tl | PBE | relaxed

Symmetry: No. 194
Electronic total energy in eV/atom: -3.97
Volume in Å³ per cell: 329.5
Crystal system: hexagonal
Energy relative to the elements in eV per atom: 0.134
N(E_F) in states/eV/atom: 1.4878

a b c (Å): 6.031 7.943 7.943
angles (deg): 120.00 90.00 90.00
Element x y z (fractional)
Tl (0.000, 0.000, 0.000)
Tl (0.500, 0.000, 0.000)
Tm (0.750, 0.194, 0.389)
Tm (0.250, 0.806, 0.611)
Tm (0.250, 0.806, 0.194)
Tm (0.750, 0.611, 0.806)
Tm (0.250, 0.389, 0.194)
Tm (0.750, 0.194, 0.806)
Sm (0.250, 0.333, 0.667)
Sm (0.750, 0.667, 0.333)


No. 3
Y3HfCl | PBE | relaxed

Symmetry: No. 221
Electronic total energy in eV/atom: -5.71
Volume in Å³ per cell: 181.9
Crystal system: cubic
N(E_F) in states/eV/atom: 0.4421

a b c (Å): 5.666 5.666 5.666
angles (deg): 90.00 90.00 90.00
Element x y z (fractional)
Y (0.000, 0.000, 0.500)
Y (0.500, 0.000, 0.000)
Y (0.000, 0.500, 0.000)
Hf (0.000, 0.000, 0.000)
Cl (0.500, 0.500, 0.500)


No. 4
Ta2Be2Pd | PBE | relaxed

Symmetry: No. 127
Electronic total energy in eV/atom: -7.58
Volume in Å³ per cell: 133.9
Crystal system: tetragonal
Energy relative to the elements in eV per atom: -0.314
N(E_F) in states/eV/atom: 0.5128

a b c (Å): 6.048 6.048 3.660
angles (deg): 90.00 90.00 90.00
Element x y z (fractional)
Ta (0.330, 0.170, 0.500)
Ta (0.670, 0.830, 0.500)
Ta (0.830, 0.330, 0.500)
Ta (0.170, 0.670, 0.500)
Be (0.627, 0.127, 0.000)
Be (0.373, 0.873, 0.000)
Be (0.873, 0.627, 0.000)
Be (0.127, 0.373, 0.000)
Pd (0.500, 0.500, 0.000)
Pd (0.000, 0.000, 0.000)


No. 5
HoZnCo | PBE | relaxed

Symmetry: No. 107
Electronic total energy in eV/atom: -4.46
Volume in Å³ per cell: 52.3
Crystal system: tetragonal
Energy relative to the elements in eV per atom: -0.140
N(E_F) in states/eV/atom: 0.7586

a b c (Å): 3.316 3.316 5.306
angles (deg): 108.21 108.21 90.00
Site moments in Bohr magnetons follow the coordinates.
Element x y z (fractional)
Zn (0.646, 0.646, 0.292)  -0.02
Co (0.262, 0.262, 0.524)  0.90
Ho (0.942, 0.942, 0.883)  -0.13


No. 6
CsIn2TcPb | PBE | relaxed

Symmetry: No. 123
Electronic total energy in eV/atom: -4.05
Volume in Å³ per cell: 155.2
Crystal system: tetragonal
Energy relative to the elements in eV per atom: 0.035
N(E_F) in states/eV/atom: 0.1630

a b c (Å): 5.383 5.383 5.355
angles (deg): 90.00 90.00 90.00
Element x y z (fractional)
Tc (0.000, 0.000, 0.000)
Pb (0.000, 0.000, 0.500)
In (0.000, 0.500, 0.000)
In (0.500, 0.000, 0.000)
Cs (0.500, 0.500, 0.500)


No. 7
Np2Ga9Ni3 | PBE | relaxed

Symmetry: No. 15
Electronic total energy in eV/atom: -5.32
Volume in Å³ per cell: 457.0
Crystal system: monoclinic
Energy relative to the elements in eV per atom: -0.284
N(E_F) in states/eV/atom: 1.5844

a b c (Å): 7.470 7.470 10.399
angles (deg): 89.98 111.01 120.09
Site moments in Bohr magnetons follow the coordinates.
Element x y z (fractional)
Ga (0.872, 0.021, 0.063)  0.02
Ga (0.450, 0.640, 0.929)  0.04
Ga (0.453, 0.917, 0.749)  0.01
Ga (0.120, 0.870, 0.250)  0.01
Ga (0.668, 0.704, 0.751)  0.01
Ga (0.550, 0.360, 0.071)  0.04
Ga (0.547, 0.083, 0.251)  0.01
Ga (0.212, 0.521, 0.571)  0.04
Ga (0.543, 0.191, 0.563)  0.02
Ga (0.880, 0.130, 0.750)  0.01
Ga (0.128, 0.979, 0.937)  0.02
Ga (0.788, 0.479, 0.429)  0.04
Ga (0.883, 0.858, 0.573)  0.03
Ga (0.457, 0.809, 0.437)  0.02
Ga (0.784, 0.310, 0.927)  0.03
Ga (0.216, 0.690, 0.073)  0.03
Ga (0.332, 0.296, 0.249)  0.01
Ga (0.117, 0.142, 0.427)  0.03
Ni (0.834, 0.167, 0.500)  0.16
Ni (0.500, 0.000, 0.000)  0.18
Ni (0.500, 0.500, 0.500)  0.18
Ni (0.166, 0.833, 0.500)  0.16
Ni (0.832, 0.666, 0.000)  0.16
Ni (0.168, 0.334, 0.000)  0.16
Np (0.667, 0.752, 0.251)  3.91
Np (0.000, 0.584, 0.751)  3.91
Np (0.000, 0.416, 0.249)  3.91
Np (0.333, 0.248, 0.749)  3.91


No. 8
LaPr2Os | PBE | relaxed

Symmetry: No. 166
Electronic total energy in eV/atom: -6.08
Volume in Å³ per cell: 144.3
Crystal system: trigonal
Energy relative to the elements in eV per atom: 0.345
N(E_F) in states/eV/atom: 1.2640

a b c (Å): 3.930 3.930 11.023
angles (deg): 79.73 79.73 60.00
Site moments in Bohr magnetons follow the coordinates.
Element x y z (fractional)
La (0.000, 0.000, 0.000)  0.16
Pr (0.885, 0.885, 0.344)  0.01
Pr (0.115, 0.115, 0.656)  0.01
Os (0.500, 0.500, 0.500)  0.01


> electronic total energy of number 4 (Ta2Be2Pd)?

-7.58 eV/atom